[1]
Density functional theory data (PBE) for a relaxed structure of BaZn2PBr.

```
5
Lattice="5.135 0.000 0.000 0.000 5.135 0.000 0.000 0.000 6.282" Properties=species:S:1:pos:R:3 pbc="T T T"
Ba 0.000 0.000 0.000
Zn 0.000 2.568 3.141
Zn 2.568 0.000 3.141
P 2.568 2.568 0.000
Br 0.000 0.000 3.141
```

* space-group type: P4/mmm
* raw formation energy: 1.02 eV per formula unit
* DOS at the Fermi energy: 2.37 states/eV/f.u.
* electronic total energy: -0.077 Ha/atom

---

[2]
Density functional theory data (PBE) for a relaxed structure of AcAl2Zn4.

```
14
Lattice="7.164 0.000 0.000 0.000 7.164 0.000 0.000 0.000 5.303" Properties=species:S:1:pos:R:3 pbc="T T T"
Ac 0.000 0.000 0.000
Ac 3.582 3.582 2.651
Al 0.000 3.582 1.326
Al 0.000 3.582 3.977
Al 3.582 0.000 1.326
Al 3.582 0.000 3.977
Zn 1.365 1.365 2.651
Zn 1.365 5.799 2.651
Zn 2.217 2.217 0.000
Zn 2.217 4.947 0.000
Zn 4.947 2.217 0.000
Zn 4.947 4.947 0.000
Zn 5.799 1.365 2.651
Zn 5.799 5.799 2.651
```

* space-group type: I4/mmm
* DOS at the Fermi energy: 3.79 states/eV/f.u.
* electronic total energy: -0.093 Ha/atom

---

[3]
Density functional theory data (PBE) for a relaxed structure of GeHF.

```
6
Lattice="4.841 0.000 0.000 0.000 4.256 0.000 -2.082 0.000 4.535" Properties=species:S:1:pos:R:3 pbc="T T T"
Ge 0.000 0.000 0.000
Ge 0.669 2.128 1.083
H 0.513 2.128 2.609
H 1.320 0.000 4.006
F -1.116 0.000 3.004
F 2.473 2.128 0.890
```

* space-group type: Pm
* DOS at the Fermi energy: 0.00 states/eV/f.u.
* electronic total energy: -0.154 Ha/atom

---

[4]
Density functional theory data (PBE) for a relaxed structure of Ac2CuSiPd6.

```
10
Lattice="5.929 -2.811 0.000 5.929 2.811 0.000 -5.431 0.000 6.224" Properties=species:S:1:pos:R:3 pbc="T T T"
Ac 1.701 0.000 1.261
Ac 4.726 0.000 4.963
Cu 5.929 0.000 0.000
Si -2.716 0.000 3.112
Pd -0.362 0.000 3.813
Pd 1.926 1.381 4.557
Pd 4.501 1.381 1.667
Pd 1.926 -1.381 4.557
Pd 4.501 -1.381 1.667
Pd 6.789 0.000 2.411
```

* space-group type: C2/m
* raw formation energy: -6.97 eV per formula unit
* DOS at the Fermi energy: 3.36 states/eV/f.u.
* electronic total energy: -0.205 Ha/atom